! LaMoRh2 | the Alexandria database | PBE | optimized geometry; values from VASP
! Symmetry: R-3m, No. 166
! Relative energy among the computed polymorphs (meV per atom): 358
&SYSTEM
  ibrav = 0, nat = 4, ntyp = 3
/
ATOMIC_SPECIES
La 138.91 La.upf
Mo 95.94 Mo.upf
Rh 102.91 Rh.upf
CELL_PARAMETERS angstrom
1.4704 0.8490 9.5706
-1.4704 0.8490 9.5706
0.0000 -1.6979 9.5706
ATOMIC_POSITIONS crystal
La 0.0000 0.0000 0.0000
Mo 0.5000 0.5000 0.5000
Rh 0.2391 0.2391 0.2391
Rh 0.7609 0.7609 0.7609

***

! LaMoRh2 | the Alexandria database | PBE | optimized geometry; values from VASP
! Symmetry: Pm, No. 6
! Relative energy among the computed polymorphs (meV per atom): 130
&SYSTEM
  ibrav = 0, nat = 4, ntyp = 3
/
ATOMIC_SPECIES
La 138.91 La.upf
Mo 95.94 Mo.upf
Rh 102.91 Rh.upf
CELL_PARAMETERS angstrom
3.0275 0.0000 0.0000
0.0000 4.7975 0.0000
-0.9036 0.0000 5.0923
ATOMIC_POSITIONS crystal
La 0.0000 0.0000 0.0000
Mo 0.7675 0.5000 0.4125
Rh 0.3899 0.0000 0.5060
Rh 0.4528 0.5000 0.8776

***

! LaMo2Rh | the Alexandria database | PBE | optimized geometry; values from VASP
! Symmetry: Cmmm, No. 65
! Relative energy among the computed polymorphs (meV per atom): 381
&SYSTEM
  ibrav = 0, nat = 4, ntyp = 3
/
ATOMIC_SPECIES
La 138.91 La.upf
Mo 95.94 Mo.upf
Rh 102.91 Rh.upf
CELL_PARAMETERS angstrom
2.6573 -4.9598 0.0000
2.6573 4.9598 0.0000
0.0000 0.0000 2.8465
ATOMIC_POSITIONS crystal
La 0.0000 0.0000 0.0000
Mo 0.0000 0.5000 0.5000
Mo 0.5000 0.0000 0.5000
Rh 0.5000 0.5000 0.0000

***

! LaMoRh4 | the Alexandria database | PBE | optimized geometry; values from VASP
! Symmetry: F-43m, No. 216
&SYSTEM
  ibrav = 0, nat = 6, ntyp = 3
/
ATOMIC_SPECIES
La 138.91 La.upf
Mo 95.94 Mo.upf
Rh 102.91 Rh.upf
CELL_PARAMETERS angstrom
0.0000 3.7427 3.7427
3.7427 0.0000 3.7427
3.7427 3.7427 0.0000
ATOMIC_POSITIONS crystal
La 0.0000 0.0000 0.0000
Mo 0.7500 0.7500 0.7500
Rh 0.3758 0.3758 0.3758
Rh 0.3758 0.3758 0.8725
Rh 0.3758 0.8725 0.3758
Rh 0.8725 0.3758 0.3758

***

! LaMo2Rh | the Alexandria database | PBE | optimized geometry; values from VASP
! Symmetry: F-43m, No. 216
! Relative energy among the computed polymorphs (meV per atom): 162
&SYSTEM
  ibrav = 0, nat = 4, ntyp = 3
/
ATOMIC_SPECIES
La 138.91 La.upf
Mo 95.94 Mo.upf
Rh 102.91 Rh.upf
CELL_PARAMETERS angstrom
0.0000 3.3340 3.3340
3.3340 0.0000 3.3340
3.3340 3.3340 0.0000
ATOMIC_POSITIONS crystal
La 0.0000 0.0000 0.0000
Mo 0.5000 0.5000 0.5000
Mo 0.7500 0.7500 0.7500
Rh 0.2500 0.2500 0.2500

***

! LaMo2Rh | the Alexandria database | PBE | optimized geometry; values from VASP
! Symmetry: R3m, No. 160
! Relative energy among the computed polymorphs (meV per atom): 272
&SYSTEM
  ibrav = 0, nat = 4, ntyp = 3
/
ATOMIC_SPECIES
La 138.91 La.upf
Mo 95.94 Mo.upf
Rh 102.91 Rh.upf
CELL_PARAMETERS angstrom
1.5808 0.9127 8.9263
-1.5808 0.9127 8.9263
0.0000 -1.8254 8.9263
ATOMIC_POSITIONS crystal
La 0.0000 0.0000 0.0000
Mo 0.2341 0.2341 0.2341
Mo 0.4999 0.4999 0.4999
Rh 0.7588 0.7588 0.7588

***

! LaMo4Rh | the Alexandria database | PBE | optimized geometry; values from VASP
! Symmetry: F-43m, No. 216
&SYSTEM
  ibrav = 0, nat = 6, ntyp = 3
/
ATOMIC_SPECIES
La 138.91 La.upf
Mo 95.94 Mo.upf
Rh 102.91 Rh.upf
CELL_PARAMETERS angstrom
0.0000 3.8281 3.8281
3.8281 0.0000 3.8281
3.8281 3.8281 0.0000
ATOMIC_POSITIONS crystal
La 0.0000 0.0000 0.0000
Mo 0.1237 0.6254 0.6254
Mo 0.6254 0.1237 0.6254
Mo 0.6254 0.6254 0.1237
Mo 0.6254 0.6254 0.6254
Rh 0.2500 0.2500 0.2500

***

! LaMoRh | the Alexandria database | PBE | optimized geometry; values from VASP
! Symmetry: F-43m, No. 216
! Relative energy among the computed polymorphs (meV per atom): 392
&SYSTEM
  ibrav = 0, nat = 3, ntyp = 3
/
ATOMIC_SPECIES
La 138.91 La.upf
Mo 95.94 Mo.upf
Rh 102.91 Rh.upf
CELL_PARAMETERS angstrom
0.0000 3.2048 3.2048
3.2048 0.0000 3.2048
3.2048 3.2048 0.0000
ATOMIC_POSITIONS crystal
La 0.0000 0.0000 0.0000
Mo 0.2500 0.2500 0.2500
Rh 0.5000 0.5000 0.5000

***

! LaMoRh2 | the Alexandria database | PBE | optimized geometry; values from VASP
! Symmetry: Imm2, No. 44
! Relative energy among the computed polymorphs (meV per atom): 255
&SYSTEM
  ibrav = 0, nat = 4, ntyp = 3
/
ATOMIC_SPECIES
La 138.91 La.upf
Mo 95.94 Mo.upf
Rh 102.91 Rh.upf
CELL_PARAMETERS angstrom
-1.4827 2.3904 5.2317
1.4827 -2.3904 5.2317
1.4827 2.3904 -5.2317
ATOMIC_POSITIONS crystal
La 0.0000 0.0000 0.0000
Mo 0.2848 0.7848 0.5000
Rh 0.5008 0.5008 0.0000
Rh 0.7307 0.2307 0.5000

***

! LaMoRh2 | the Alexandria database | PBE | optimized geometry; values from VASP
! Symmetry: Cmmm, No. 65
! Relative energy among the computed polymorphs (meV per atom): 182
&SYSTEM
  ibrav = 0, nat = 4, ntyp = 3
/
ATOMIC_SPECIES
La 138.91 La.upf
Mo 95.94 Mo.upf
Rh 102.91 Rh.upf
CELL_PARAMETERS angstrom
3.0061 -3.9795 0.0000
3.0061 3.9795 0.0000
0.0000 0.0000 3.0066
ATOMIC_POSITIONS crystal
La 0.0000 0.0000 0.0000
Mo 0.5000 0.5000 0.0000
Rh 0.0000 0.5000 0.5000
Rh 0.5000 0.0000 0.5000

***

! LaMoRh2 | the Alexandria database | PBE | optimized geometry; values from VASP
! Symmetry: I-42d, No. 122
! Relative energy among the computed polymorphs (meV per atom): 478
&SYSTEM
  ibrav = 0, nat = 8, ntyp = 3
/
ATOMIC_SPECIES
La 138.91 La.upf
Mo 95.94 Mo.upf
Rh 102.91 Rh.upf
CELL_PARAMETERS angstrom
-2.4656 2.4656 8.1163
2.4656 -2.4656 8.1163
2.4656 2.4656 -8.1163
ATOMIC_POSITIONS crystal
La 0.0000 0.0000 0.0000
La 0.7500 0.2500 0.5000
Mo 0.2500 0.7500 0.5000
Mo 0.5000 0.5000 0.0000
Rh 0.2909 0.6250 0.1659
Rh 0.3750 0.5409 0.6659
Rh 0.4591 0.1250 0.8341
Rh 0.8750 0.7091 0.3341

***

! LaMo2Rh | the Alexandria database | PBE | optimized geometry; values from VASP
! Symmetry: Imm2, No. 44
! Relative energy among the computed polymorphs (meV per atom): 226
&SYSTEM
  ibrav = 0, nat = 4, ntyp = 3
/
ATOMIC_SPECIES
La 138.91 La.upf
Mo 95.94 Mo.upf
Rh 102.91 Rh.upf
CELL_PARAMETERS angstrom
-1.6470 2.5652 4.5717
1.6470 -2.5652 4.5717
1.6470 2.5652 -4.5717
ATOMIC_POSITIONS crystal
La 0.0000 0.0000 0.0000
Mo 0.2785 0.7785 0.5000
Mo 0.4823 0.4823 0.0000
Rh 0.7295 0.2295 0.5000

***

! LaMo2Rh | the Alexandria database | PBE | optimized geometry; values from VASP
! Symmetry: Immm, No. 71
! Relative energy among the computed polymorphs (meV per atom): 213
&SYSTEM
  ibrav = 0, nat = 4, ntyp = 3
/
ATOMIC_SPECIES
La 138.91 La.upf
Mo 95.94 Mo.upf
Rh 102.91 Rh.upf
CELL_PARAMETERS angstrom
-1.5303 2.3145 5.4600
1.5303 -2.3145 5.4600
1.5303 2.3145 -5.4600
ATOMIC_POSITIONS crystal
La 0.0000 0.0000 0.0000
Mo 0.2746 0.7746 0.5000
Mo 0.7254 0.2254 0.5000
Rh 0.5000 0.5000 0.0000

***

! LaMo2Rh | the Alexandria database | PBE | optimized geometry; values from VASP
! Symmetry: Fm-3m, No. 225
! Relative energy among the computed polymorphs (meV per atom): 350
&SYSTEM
  ibrav = 0, nat = 4, ntyp = 3
/
ATOMIC_SPECIES
La 138.91 La.upf
Mo 95.94 Mo.upf
Rh 102.91 Rh.upf
CELL_PARAMETERS angstrom
0.0000 3.2888 3.2888
3.2888 0.0000 3.2888
3.2888 3.2888 0.0000
ATOMIC_POSITIONS crystal
La 0.0000 0.0000 0.0000
Mo 0.2500 0.2500 0.2500
Mo 0.7500 0.7500 0.7500
Rh 0.5000 0.5000 0.5000

***

! LaMoRh2 | the Alexandria database | PBE | optimized geometry; values from VASP
! Symmetry: F-43m, No. 216
! Relative energy among the computed polymorphs (meV per atom): 313
&SYSTEM
  ibrav = 0, nat = 4, ntyp = 3
/
ATOMIC_SPECIES
La 138.91 La.upf
Mo 95.94 Mo.upf
Rh 102.91 Rh.upf
CELL_PARAMETERS angstrom
0.0000 3.2885 3.2885
3.2885 0.0000 3.2885
3.2885 3.2885 0.0000
ATOMIC_POSITIONS crystal
La 0.0000 0.0000 0.0000
Mo 0.7500 0.7500 0.7500
Rh 0.2500 0.2500 0.2500
Rh 0.5000 0.5000 0.5000

***

! LaMo2Rh | the Alexandria database | PBE | optimized geometry; values from VASP
! Symmetry: P4/mmm, No. 123
! Relative energy among the computed polymorphs (meV per atom): 497
&SYSTEM
  ibrav = 0, nat = 4, ntyp = 3
/
ATOMIC_SPECIES
La 138.91 La.upf
Mo 95.94 Mo.upf
Rh 102.91 Rh.upf
CELL_PARAMETERS angstrom
4.7662 0.0000 0.0000
0.0000 4.7662 0.0000
0.0000 0.0000 3.1779
ATOMIC_POSITIONS crystal
La 0.0000 0.0000 0.0000
Mo 0.0000 0.5000 0.5000
Mo 0.5000 0.0000 0.5000
Rh 0.5000 0.5000 0.0000

***

! LaMoRh2 | the Alexandria database | PBE | optimized geometry; values from VASP
! Symmetry: Immm, No. 71
! Relative energy among the computed polymorphs (meV per atom): 243
&SYSTEM
  ibrav = 0, nat = 4, ntyp = 3
/
ATOMIC_SPECIES
La 138.91 La.upf
Mo 95.94 Mo.upf
Rh 102.91 Rh.upf
CELL_PARAMETERS angstrom
-2.0871 2.5367 3.6702
2.0871 -2.5367 3.6702
2.0871 2.5367 -3.6702
ATOMIC_POSITIONS crystal
La 0.0000 0.0000 0.0000
Mo 0.5000 0.5000 0.0000
Rh 0.2889 0.7889 0.5000
Rh 0.7111 0.2111 0.5000

***

! LaMoRh | the Alexandria database | PBE | optimized geometry; values from VASP
! Symmetry: F-43m, No. 216
! Relative energy among the computed polymorphs (meV per atom): 938
&SYSTEM
  ibrav = 0, nat = 3, ntyp = 3
/
ATOMIC_SPECIES
La 138.91 La.upf
Mo 95.94 Mo.upf
Rh 102.91 Rh.upf
CELL_PARAMETERS angstrom
0.0000 3.2565 3.2565
3.2565 0.0000 3.2565
3.2565 3.2565 0.0000
ATOMIC_POSITIONS crystal
La 0.0000 0.0000 0.0000
Mo 0.2500 0.2500 0.2500
Rh 0.7500 0.7500 0.7500

***

! LaMo2Rh | the Alexandria database | PBE | optimized geometry; values from VASP
! Symmetry: I-42d, No. 122
! Relative energy among the computed polymorphs (meV per atom): 324
&SYSTEM
  ibrav = 0, nat = 8, ntyp = 3
/
ATOMIC_SPECIES
La 138.91 La.upf
Mo 95.94 Mo.upf
Rh 102.91 Rh.upf
CELL_PARAMETERS angstrom
-1.9363 1.9363 10.8258
1.9363 -1.9363 10.8258
1.9363 1.9363 -10.8258
ATOMIC_POSITIONS crystal
La 0.0000 0.0000 0.0000
La 0.7500 0.2500 0.5000
Mo 0.1738 0.6250 0.0488
Mo 0.3750 0.4238 0.5488
Mo 0.5762 0.1250 0.9512
Mo 0.8750 0.8262 0.4512
Rh 0.2500 0.7500 0.5000
Rh 0.5000 0.5000 0.0000

***

! LaMo2Rh | the Alexandria database | PBE | optimized geometry; values from VASP
! Symmetry: Cm, No. 8
! Relative energy among the computed polymorphs (meV per atom): 163
&SYSTEM
  ibrav = 0, nat = 4, ntyp = 3
/
ATOMIC_SPECIES
La 138.91 La.upf
Mo 95.94 Mo.upf
Rh 102.91 Rh.upf
CELL_PARAMETERS angstrom
4.6529 -1.6201 0.0000
4.6529 1.6201 0.0000
-1.8029 0.0000 5.4426
ATOMIC_POSITIONS crystal
La 0.0000 0.0000 0.0000
Mo 0.5005 0.5005 0.5030
Mo 0.7888 0.7888 0.3470
Rh 0.2346 0.2346 0.6915

***

Number 1: energy of formation 165 meV per atom, total energy -7.450 eV per atom, D(E_F) 2.75 states/eV/f.u.. Number 2: energy of formation -63 meV per atom, total energy -7.678 eV per atom, D(E_F) 4.22 states/eV/f.u.. Number 3: energy of formation 490 meV per atom, total energy -7.995 eV per atom, D(E_F) 3.70 states/eV/f.u.. Number 4: energy of formation -34 meV per atom, total energy -7.561 eV per atom, D(E_F) 6.87 states/eV/f.u.. Number 5: energy of formation 272 meV per atom, total energy -8.214 eV per atom, D(E_F) 5.09 states/eV/f.u.. Number 6: energy of formation 381 meV per atom, total energy -8.104 eV per atom, D(E_F) 5.58 states/eV/f.u.. Number 7: energy of formation 424 meV per atom, total energy -8.843 eV per atom, D(E_F) 7.42 states/eV/f.u.. Number 8: energy of formation 452 meV per atom, total energy -7.251 eV per atom, D(E_F) 4.07 states/eV/f.u.. Number 9: energy of formation 62 meV per atom, total energy -7.553 eV per atom, D(E_F) 4.53 states/eV/f.u.. Number 10: energy of formation -12 meV per atom, total energy -7.627 eV per atom, D(E_F) 4.09 states/eV/f.u.. Number 11: energy of formation 285 meV per atom, total energy -7.330 eV per atom, D(E_F) 3.13 states/eV/f.u.. Number 12: energy of formation 336 meV per atom, total energy -8.150 eV per atom, D(E_F) 3.58 states/eV/f.u.. Number 13: energy of formation 323 meV per atom, total energy -8.163 eV per atom, D(E_F) 4.48 states/eV/f.u.. Number 14: energy of formation 459 meV per atom, total energy -8.026 eV per atom, D(E_F) 4.60 states/eV/f.u.. Number 15: energy of formation 120 meV per atom, total energy -7.495 eV per atom, D(E_F) 3.17 states/eV/f.u.. Number 16: energy of formation 606 meV per atom, total energy -7.879 eV per atom, D(E_F) 5.74 states/eV/f.u.. Number 17: energy of formation 50 meV per atom, total energy -7.565 eV per atom, D(E_F) 4.30 states/eV/f.u.. Number 18: energy of formation 999 meV per atom, total energy -6.705 eV per atom, D(E_F) 2.94 states/eV/f.u.. Number 19: energy of formation 434 meV per atom, total energy -8.051 eV per atom, D(E_F) 2.89 states/eV/f.u.. Number 20: energy of formation 273 meV per atom, total energy -8.212 eV per atom, D(E_F) 3.81 states/eV/f.u..